Computed, not measured: crystalline Ac4PmMg5 at its relaxed geometry at the GGA-PBE level of DFT.

Results
Magnetic moment ... 0.0 μB/cell
Space-group type ... P4/mmm
Raw total energy ... -2.998 eV per atom
DOS(E_F) ... 11.4 states/eV/f.u.
Calculated volume ... 336.5 Å³ per cell

a b c (Å): 4.0674 4.0674 20.3377
angles (deg): 90.00 90.00 90.00
Sites, in units of the cell vectors:
Ac  0.0000  0.0000  0.1028
Ac  0.0000  0.0000  0.3081
Ac  0.0000  0.0000  0.6919
Ac  0.0000  0.0000  0.8972
Pm  0.0000  0.0000  0.5000
Mg  0.5000  0.5000  0.0000
Mg  0.5000  0.5000  0.2051
Mg  0.5000  0.5000  0.4132
Mg  0.5000  0.5000  0.5868
Mg  0.5000  0.5000  0.7949